Entry 1:
Density functional theory data (PBE) for a relaxed Ca3Ni2P3 crystal.

Energy relative to the elements in eV/atom: -0.892
Total moment in μB/cell: 0.00
Calculated volume in A^3/atom: 18.4

a = 4.0223 Å, b = 10.6712 Å, c = 13.7059 Å
α = 90.00°, β = 90.00°, γ = 90.00°
Space group Cmcm (No. 63)
Asymmetric unit:
Ca: 0.0000 0.0769 0.1062 (multiplicity 8)
Ca: 0.0000 0.3568 0.2500 (multiplicity 4)
Ni: 0.0000 0.2216 0.5938 (multiplicity 8)
P: 0.0000 0.3346 0.7500 (multiplicity 4)
P: 0.0000 0.3540 0.0440 (multiplicity 8)

Entry 2:
Density functional theory data (PBE) for a relaxed CaNiP2 crystal.

Energy relative to the elements in eV/atom: -0.706
Total moment in μB/cell: 0.00
Calculated volume in A^3/atom: 18.5

a = 4.4601 Å, b = 3.7110 Å, c = 4.4918 Å
α = 90.00°, β = 95.09°, γ = 90.00°
Space group P2/m (No. 10)
Asymmetric unit:
Ca: 0.0000 0.0000 0.0000 (multiplicity 1)
Ni: 0.5000 0.0000 0.5000 (multiplicity 1)
P: 0.2459 0.5000 0.5994 (multiplicity 2)

Entry 3:
Density functional theory data (PBE) for a relaxed CaNi6P4 crystal.

Energy relative to the elements in eV/atom: -0.612
Total moment in μB/cell: 0.00
Calculated volume in A^3/atom: 12.4

a = 6.6345 Å, b = 6.6345 Å, c = 3.5852 Å
α = 90.00°, β = 90.00°, γ = 120.00°
Space group P-6m2 (No. 187)
Asymmetric unit:
Ca: 0.0000 0.0000 0.0000 (multiplicity 1)
Ni: 0.2031 0.4062 0.5000 (multiplicity 3)
Ni: 0.5370 0.0740 0.0000 (multiplicity 3)
P: 0.3333 0.6667 0.0000 (multiplicity 1)
P: 0.3768 0.1884 0.5000 (multiplicity 3)

Entry 4:
Density functional theory data (PBE) for a relaxed CaNiP2 crystal.

Energy relative to the elements in eV/atom: -0.089
Total moment in μB/cell: 0.00
Calculated volume in A^3/atom: 16.2

a = 3.8329 Å, b = 3.8329 Å, c = 8.8424 Å
α = 90.00°, β = 90.00°, γ = 90.00°
Space group I-4m2 (No. 119)
Asymmetric unit:
Ca: 0.0000 0.0000 0.0000 (multiplicity 2)
Ni: 0.0000 0.5000 0.7500 (multiplicity 2)
P: 0.0000 0.0000 0.5000 (multiplicity 2)
P: 0.0000 0.5000 0.2500 (multiplicity 2)

Entry 5:
Density functional theory data (PBE) for a relaxed CaNiP2Pb crystal.

Energy relative to the elements in eV/atom: 0.937
Total moment in μB/cell: 0.70
Calculated volume in A^3/atom: 26.1

a = 5.2097 Å, b = 5.2097 Å, c = 4.8163 Å
α = 90.00°, β = 90.00°, γ = 90.00°
Space group P4/mmm (No. 123)
Asymmetric unit:
Ca: 0.0000 0.0000 0.0000 (multiplicity 1)
Ni: 0.0000 0.0000 0.5000 (multiplicity 1)
P: 0.0000 0.5000 0.0000 (multiplicity 2)
Pb: 0.5000 0.5000 0.5000 (multiplicity 1)

Entry 6:
Density functional theory data (PBE) for a relaxed CaNiPPd2 crystal.

Energy relative to the elements in eV/atom: -0.575
Total moment in μB/cell: 0.00
Calculated volume in A^3/atom: 18.2

a = 4.6255 Å, b = 4.6255 Å, c = 4.2539 Å
α = 90.00°, β = 90.00°, γ = 90.00°
Space group P4/mmm (No. 123)
Asymmetric unit:
Ca: 0.0000 0.0000 0.0000 (multiplicity 1)
Ni: 0.5000 0.5000 0.0000 (multiplicity 1)
P: 0.5000 0.5000 0.5000 (multiplicity 1)
Pd: 0.0000 0.5000 0.5000 (multiplicity 2)

Entry 7:
Density functional theory data (PBE) for a relaxed CaNi2PPd crystal.

Energy relative to the elements in eV/atom: -0.466
Total moment in μB/cell: 0.00
Calculated volume in A^3/atom: 17.0

a = 4.2753 Å, b = 4.2753 Å, c = 4.6423 Å
α = 90.00°, β = 90.00°, γ = 90.00°
Space group P4/mmm (No. 123)
Asymmetric unit:
Ca: 0.0000 0.0000 0.0000 (multiplicity 1)
Ni: 0.0000 0.5000 0.5000 (multiplicity 2)
P: 0.5000 0.5000 0.5000 (multiplicity 1)
Pd: 0.5000 0.5000 0.0000 (multiplicity 1)

Entry 8:
Density functional theory data (PBE) for a relaxed CaNiP2Pd crystal.

Energy relative to the elements in eV/atom: -0.804
Total moment in μB/cell: 0.00
Calculated volume in A^3/atom: 15.8

a = 4.0593 Å, b = 4.0593 Å, c = 9.5818 Å
α = 90.00°, β = 90.00°, γ = 90.00°
Space group I-4m2 (No. 119)
Asymmetric unit:
Ca: 0.0000 0.0000 0.0000 (multiplicity 2)
Ni: 0.0000 0.5000 0.7500 (multiplicity 2)
P: 0.0000 0.0000 0.3830 (multiplicity 4)
Pd: 0.0000 0.5000 0.2500 (multiplicity 2)

Entry 9:
Density functional theory data (PBE) for a relaxed Ca2Ni12P3Pd crystal.

Energy relative to the elements in eV/atom: 0.004
Total moment in μB/cell: 0.00
Calculated volume in A^3/atom: 13.4

a = 8.4407 Å, b = 8.4407 Å, c = 11.7246 Å
α = 90.00°, β = 90.00°, γ = 120.00°
Space group R-3m (No. 166, hexagonal axes)
Asymmetric unit:
Ca: 0.0000 0.0000 0.1286 (multiplicity 6)
Ni: 0.0020 0.5010 0.8198 (multiplicity 18)
Ni: 0.0323 0.5161 0.3848 (multiplicity 18)
P: 0.0000 0.5000 0.0000 (multiplicity 9)
Pd: 0.0000 0.0000 0.5000 (multiplicity 3)

Entry 10:
Density functional theory data (PBE) for a relaxed CaPmNiP crystal.

Energy relative to the elements in eV/atom: -0.571
Total moment in μB/cell: 0.00
Calculated volume in A^3/atom: 21.1

a = 6.9594 Å, b = 6.9594 Å, c = 6.9594 Å
α = 90.00°, β = 90.00°, γ = 90.00°
Space group F-43m (No. 216)
Asymmetric unit:
Ca: 0.0000 0.0000 0.0000 (multiplicity 4)
Pm: 0.0000 0.0000 0.5000 (multiplicity 4)
Ni: 0.2500 0.2500 0.7500 (multiplicity 4)
P: 0.2500 0.2500 0.2500 (multiplicity 4)

Entry 11:
Density functional theory data (PBE) for a relaxed CaPmNi2P2 crystal.

Energy relative to the elements in eV/atom: -1.063
Total moment in μB/cell: 0.00
Calculated volume in A^3/atom: 18.0

a = 3.9177 Å, b = 3.9177 Å, c = 8.1327 Å
α = 90.00°, β = 90.00°, γ = 120.00°
Space group P-3m1 (No. 164)
Asymmetric unit:
Ca: 0.0000 0.0000 0.0000 (multiplicity 1)
Pm: 0.0000 0.0000 0.5000 (multiplicity 1)
Ni: 0.3333 0.6667 0.2539 (multiplicity 2)
P: 0.3333 0.6667 0.7474 (multiplicity 2)

Entry 12:
Density functional theory data (PBE) for a relaxed CaPrNi2P2 crystal.

Energy relative to the elements in eV/atom: -1.039
Total moment in μB/cell: 0.00
Calculated volume in A^3/atom: 18.3

a = 3.9333 Å, b = 3.9333 Å, c = 8.2168 Å
α = 90.00°, β = 90.00°, γ = 120.00°
Space group P-3m1 (No. 164)
Asymmetric unit:
Ca: 0.0000 0.0000 0.0000 (multiplicity 1)
Pr: 0.0000 0.0000 0.5000 (multiplicity 1)
Ni: 0.3333 0.6667 0.2504 (multiplicity 2)
P: 0.3333 0.6667 0.7512 (multiplicity 2)

Entry 13:
Density functional theory data (PBE) for a relaxed Ca2Ni12P3Pt crystal.

Energy relative to the elements in eV/atom: 0.065
Total moment in μB/cell: 0.00
Calculated volume in A^3/atom: 15.9

a = 7.6346 Å, b = 7.6346 Å, c = 17.0338 Å
α = 90.00°, β = 90.00°, γ = 120.00°
Space group R-3m (No. 166, hexagonal axes)
Asymmetric unit:
Ca: 0.0000 0.0000 0.1036 (multiplicity 6)
Ni: 0.0115 0.5058 0.8763 (multiplicity 18)
Ni: 0.0448 0.5224 0.3629 (multiplicity 18)
P: 0.0000 0.5000 0.0000 (multiplicity 9)
Pt: 0.0000 0.0000 0.5000 (multiplicity 3)

Entry 14:
Density functional theory data (PBE) for a relaxed Ca2Ni3P4Pt crystal.

Energy relative to the elements in eV/atom: -0.812
Total moment in μB/cell: 0.00
Calculated volume in A^3/atom: 15.3

a = 4.0469 Å, b = 4.0469 Å, c = 9.3287 Å
α = 90.00°, β = 90.00°, γ = 90.00°
Space group P-4m2 (No. 115)
Asymmetric unit:
Ca: 0.0000 0.5000 0.2402 (multiplicity 2)
Ni: 0.0000 0.5000 0.8854 (multiplicity 2)
Ni: 0.5000 0.5000 0.5000 (multiplicity 1)
P: 0.0000 0.0000 0.0000 (multiplicity 1)
P: 0.0000 0.5000 0.6434 (multiplicity 2)
P: 0.5000 0.5000 0.0000 (multiplicity 1)
Pt: 0.0000 0.0000 0.5000 (multiplicity 1)

Entry 15:
Density functional theory data (PBE) for a relaxed CaNiP2Pt crystal.

Energy relative to the elements in eV/atom: 0.100
Total moment in μB/cell: 0.00
Calculated volume in A^3/atom: 18.6

a = 4.3024 Å, b = 4.3024 Å, c = 5.0334 Å
α = 90.00°, β = 90.00°, γ = 90.00°
Space group P4/mmm (No. 123)
Asymmetric unit:
Ca: 0.0000 0.0000 0.0000 (multiplicity 1)
Ni: 0.0000 0.0000 0.5000 (multiplicity 1)
P: 0.0000 0.5000 0.5000 (multiplicity 2)
Pt: 0.5000 0.5000 0.0000 (multiplicity 1)

Entry 16:
Density functional theory data (PBE) for a relaxed CaReNiP2 crystal.

Energy relative to the elements in eV/atom: -0.679
Total moment in μB/cell: 0.00
Calculated volume in A^3/atom: 17.1

a = 3.8660 Å, b = 3.8660 Å, c = 11.4484 Å
α = 90.00°, β = 90.00°, γ = 90.00°
Space group I-4m2 (No. 119)
Asymmetric unit:
Ca: 0.0000 0.0000 0.0000 (multiplicity 2)
Re: 0.0000 0.5000 0.7500 (multiplicity 2)
Ni: 0.0000 0.5000 0.2500 (multiplicity 2)
P: 0.0000 0.0000 0.3622 (multiplicity 4)

Entry 17:
Density functional theory data (PBE) for a relaxed CaNiP2Rh crystal.

Energy relative to the elements in eV/atom: -0.872
Total moment in μB/cell: 0.00
Calculated volume in A^3/atom: 15.2

a = 3.9894 Å, b = 3.9894 Å, c = 9.5787 Å
α = 90.00°, β = 90.00°, γ = 90.00°
Space group I-4m2 (No. 119)
Asymmetric unit:
Ca: 0.0000 0.0000 0.0000 (multiplicity 2)
Ni: 0.0000 0.5000 0.7500 (multiplicity 2)
P: 0.0000 0.0000 0.3820 (multiplicity 4)
Rh: 0.0000 0.5000 0.2500 (multiplicity 2)

Entry 18:
Density functional theory data (PBE) for a relaxed Ca2Ni4P3Rh crystal.

Energy relative to the elements in eV/atom: -0.667
Total moment in μB/cell: 0.00
Calculated volume in A^3/atom: 14.8

a = 3.9020 Å, b = 3.9020 Å, c = 9.7509 Å
α = 90.00°, β = 90.00°, γ = 90.00°
Space group P-4m2 (No. 115)
Asymmetric unit:
Ca: 0.0000 0.5000 0.2470 (multiplicity 2)
Ni: 0.0000 0.0000 0.0000 (multiplicity 1)
Ni: 0.0000 0.5000 0.6481 (multiplicity 2)
Ni: 0.5000 0.5000 0.0000 (multiplicity 1)
P: 0.0000 0.5000 0.8738 (multiplicity 2)
P: 0.5000 0.5000 0.5000 (multiplicity 1)
Rh: 0.0000 0.0000 0.5000 (multiplicity 1)

Entry 19:
Density functional theory data (PBE) for a relaxed CaNiPRh2 crystal.

Energy relative to the elements in eV/atom: -0.480
Total moment in μB/cell: 0.00
Calculated volume in A^3/atom: 17.1

a = 4.4699 Å, b = 4.4699 Å, c = 4.2850 Å
α = 90.00°, β = 90.00°, γ = 90.00°
Space group P4/mmm (No. 123)
Asymmetric unit:
Ca: 0.0000 0.0000 0.0000 (multiplicity 1)
Ni: 0.5000 0.5000 0.0000 (multiplicity 1)
P: 0.5000 0.5000 0.5000 (multiplicity 1)
Rh: 0.0000 0.5000 0.5000 (multiplicity 2)

Entry 20:
Density functional theory data (PBE) for a relaxed CaNiPS2 crystal.

Total moment in μB/cell: 1.72
Energy relative to the elements, uncorrected in meV/atom: 1009
Calculated volume in A^3/atom: 27.4

a = 5.1262 Å, b = 5.1262 Å, c = 5.2139 Å
α = 90.00°, β = 90.00°, γ = 90.00°
Space group P4/mmm (No. 123)
Asymmetric unit:
Ca: 0.0000 0.0000 0.0000 (multiplicity 1)
Ni: 0.5000 0.5000 0.5000 (multiplicity 1)
P: 0.0000 0.0000 0.5000 (multiplicity 1)
S: 0.0000 0.5000 0.0000 (multiplicity 2)

Calculated values (states/eV/cell) of density of states at the Fermi level for the records, taken in order: 20.5 0.8 6.2 5.4 6.4 3.1 3.7 4.7 40.9 5.2 2.9 3.1 31.7 6.5 2.9 5.0 7.4 9.6 4.5 10.9.